--- i ---
Compound: CoRe3B
Source: the Alexandria database
Functional: PBE
Structure: optimized geometry

```
CoRe3B
1.0
4.055 0.000 0.000
0.000 4.055 0.000
0.000 0.000 4.055
Re Co B
3 1 1
direct
0.000 0.500 0.000
0.000 0.000 0.500
0.500 0.000 0.000
0.500 0.500 0.500
0.000 0.000 0.000
```

ρ = 15.65 Mg/m³
space group = Pm-3m (221)

---

--- ii ---
Compound: CoRe3B
Source: the Alexandria database
Functional: PBE
Structure: optimized geometry

```
CoRe3B
1.0
4.363 0.000 0.000
0.000 4.363 0.000
0.000 0.000 4.363
Re Co B
3 1 1
direct
0.000 0.000 0.500
0.000 0.500 0.000
0.500 0.000 0.000
0.000 0.000 0.000
0.500 0.500 0.500
```

ρ = 12.56 Mg/m³
space group = Pm-3m (221)

---

The structure with the least stability is ii.